ZrTlZn2 | PBE | optimized geometry

Cell and atoms, written as POSCAR:
```
ZrTlZn2
1.0
-1.804 2.211 4.973
1.804 -2.211 4.973
1.804 2.211 -4.973
Zr Tl Zn
1 1 2
Direct
0.000 0.000 0.000
0.722 0.222 0.500
0.253 0.753 0.500
0.453 0.453 0.000
```

Calculated values
* SG: No. 44
* energy above the lowest structure with this stoichiometry: 184 meV per atom
* energy: -3.328 eV/atom



K2HfGe2O6 | PBE | optimized geometry

Cell and atoms, written as POSCAR:
```
K2HfGe2O6
1.0
4.987 -2.921 0.000
4.987 2.921 0.000
-3.557 0.000 5.860
K Hf Ge O
2 1 2 6
Direct
0.211 0.211 0.185
0.789 0.789 0.815
0.000 0.000 0.500
0.449 0.449 0.795
0.551 0.551 0.205
0.226 0.726 0.264
0.241 0.241 0.637
0.274 0.774 0.736
0.726 0.226 0.264
0.759 0.759 0.363
0.774 0.274 0.736
```

Calculated values
* SG: No. 12
* energy: -6.840 eV/atom



SrCeOsO6 | PBE | optimized geometry

Cell and atoms, written as POSCAR:
```
SrCeOsO6
1.0
5.636 0.000 0.000
-2.818 4.881 0.000
0.000 0.000 10.359
Sr Ce Os O
2 2 2 12
Direct
0.000 0.000 0.000
0.000 0.000 0.500
0.333 0.667 0.250
0.667 0.333 0.750
0.333 0.667 0.750
0.667 0.333 0.250
0.041 0.387 0.646
0.041 0.655 0.854
0.345 0.387 0.854
0.345 0.959 0.646
0.387 0.041 0.146
0.387 0.345 0.354
0.613 0.655 0.646
0.613 0.959 0.854
0.655 0.041 0.354
0.655 0.613 0.146
0.959 0.345 0.146
0.959 0.613 0.354
```

Calculated values
* SG: No. 163
* energy: -7.626 eV/atom



TlP | PBE | optimized geometry

Cell and atoms, written as POSCAR:
```
TlP
1.0
8.471 0.000 0.000
0.000 4.363 0.000
0.000 0.000 7.215
Tl P
4 4
Direct
0.175 0.250 0.090
0.325 0.750 0.590
0.675 0.250 0.410
0.825 0.750 0.910
0.149 0.750 0.883
0.351 0.250 0.383
0.649 0.750 0.617
0.851 0.250 0.117
```

Calculated values
* SG: No. 62
* energy: -3.564 eV/atom



MgScHg4 | PBE | optimized geometry

Cell and atoms, written as POSCAR:
```
MgScHg4
1.0
4.084 0.000 0.000
1.437 5.083 0.000
1.997 1.974 6.501
Mg Sc Hg
1 1 4
Direct
0.000 0.000 0.000
0.001 0.500 0.500
0.329 0.003 0.329
0.336 0.495 0.832
0.666 0.504 0.168
0.672 0.997 0.671
```

Calculated values
* SG: No. 1
* energy above the lowest structure with this stoichiometry: 13 meV per atom
* energy: -1.710 eV/atom



SnHgAs | PBE | optimized geometry

Cell and atoms, written as POSCAR:
```
SnHgAs
1.0
4.081 0.000 0.000
-2.041 3.535 0.000
0.000 0.000 5.552
Sn Hg As
1 1 1
Direct
0.000 0.000 0.000
0.333 0.667 0.612
0.667 0.333 0.252
```

Calculated values
* SG: No. 156
* energy above the lowest structure with this stoichiometry: 0 meV per atom
* energy: -2.987 eV/atom



CdP2 | PBE | optimized geometry

Cell and atoms, written as POSCAR:
```
CdP2
1.0
5.354 0.000 0.000
0.000 5.354 0.000
0.000 0.000 19.997
Cd P
8 16
Direct
0.128 0.347 0.202
0.153 0.628 0.952
0.347 0.128 0.798
0.372 0.847 0.548
0.628 0.153 0.048
0.653 0.872 0.298
0.847 0.372 0.452
0.872 0.653 0.702
0.019 0.024 0.626
0.024 0.019 0.374
0.193 0.713 0.435
0.213 0.307 0.685
0.287 0.807 0.065
0.307 0.213 0.315
0.476 0.519 0.376
0.481 0.524 0.124
0.519 0.476 0.624
0.524 0.481 0.876
0.693 0.787 0.815
0.713 0.193 0.565
0.787 0.693 0.185
0.807 0.287 0.935
0.976 0.981 0.874
0.981 0.976 0.126
```

Calculated values
* SG: No. 96
* energy: -4.036 eV/atom



BaSr2Sc | PBE | optimized geometry

Cell and atoms, written as POSCAR:
```
BaSr2Sc
1.0
3.883 0.000 0.000
0.000 6.266 0.000
-1.292 0.000 7.370
Ba Sr Sc
1 2 1
Direct
0.000 0.000 0.000
0.260 0.500 0.732
0.740 0.500 0.268
0.500 0.000 0.500
```

Calculated values
* SG: No. 10
* energy above the lowest structure with this stoichiometry: 11 meV per atom
* energy: -2.621 eV/atom



AgHg3 | PBE | optimized geometry

Cell and atoms, written as POSCAR:
```
AgHg3
1.0
0.000 3.581 3.581
3.581 0.000 3.581
3.581 3.581 0.000
Ag Hg
1 3
Direct
0.000 0.000 0.000
0.250 0.250 0.250
0.500 0.500 0.500
0.750 0.750 0.750
```

Calculated values
* SG: No. 225
* energy: -0.804 eV/atom



MgAlMo2 | PBE | optimized geometry

Cell and atoms, written as POSCAR:
```
MgAlMo2
1.0
1.719 -2.118 0.000
1.719 2.118 0.000
0.000 0.000 8.885
Mg Al Mo
1 1 2
Direct
0.000 0.000 0.000
0.000 0.000 0.500
0.500 0.500 0.264
0.500 0.500 0.736
```

Calculated values
* SG: No. 65
* energy above the lowest structure with this stoichiometry: 64 meV per atom
* energy: -6.679 eV/atom